# Li6CoOF6, relaxed, DFT PBE+U
# volume	8.8	A^3/atom
# final energy	-4.983	eV per atom
data_Li6CoOF6
_chemical_formula_sum 'Li6 Co1 O1 F6'
_cell_length_a 2.908
_cell_length_b 2.908
_cell_length_c 14.746
_cell_angle_alpha 95.66
_cell_angle_beta 95.66
_cell_angle_gamma 90.00
_symmetry_space_group_name_H-M 'P 1'
_symmetry_Int_Tables_number 1
_symmetry_space_group_name_Hall 'P 1'
loop_
_atom_site_label
_atom_site_fract_x
_atom_site_fract_y
_atom_site_fract_z
Li1 0.215 0.215 0.430
Li2 0.646 0.646 0.292
O1 0.000 0.000 0.000
F1 0.577 0.577 0.154
F2 0.423 0.423 0.846
Li3 0.354 0.354 0.708
F3 0.285 0.285 0.570
Co1 0.500 0.500 0.000
Li4 0.075 0.075 0.149
F4 0.854 0.854 0.709
Li5 0.785 0.785 0.570
F5 0.715 0.715 0.430
Li6 0.925 0.925 0.851
F6 0.146 0.146 0.291